# 1
{
  "formula": "Sc2PPb",
  "functional": "PBE",
  "state": "optimized geometry",
  "lattice": [[3.693, -0.005, 0.002], [1.850, 3.197, 0.002], [1.829, 1.053, 7.592]],
  "species": ["Pb", "Sc", "Sc", "P"],
  "fractional_positions": [[0.250, 0.250, 0.250], [0.021, 0.021, 0.939], [0.479, 0.479, 0.561], [0.750, 0.750, 0.750]],
  "rho_g_cm3": 6.074,
  "de_polymorph_ev_per_atom": 0.000,
  "dft_energy_ev_per_cell": -25.73,
  "formation_enthalpy_0k_mev_per_atom": -987
}

***

# 2
{
  "formula": "Na2CePaBi4",
  "functional": "PBE",
  "state": "optimized geometry",
  "lattice": [[-0.073, -4.147, -2.283], [-1.895, -3.835, 7.026], [-6.144, 2.137, -3.685]],
  "species": ["Na", "Na", "Ce", "Pa", "Bi", "Bi", "Bi", "Bi"],
  "fractional_positions": [[0.500, 0.000, 0.500], [0.000, 0.500, 0.500], [0.000, 0.000, 0.000], [0.500, 0.500, 0.000], [0.500, 0.249, 0.228], [0.500, 0.751, 0.772], [0.000, 0.263, 0.773], [0.000, 0.737, 0.227]],
  "rho_g_cm3": 7.675,
  "dft_energy_ev_per_cell": -35.83,
  "formation_enthalpy_0k_mev_per_atom": -280
}

***

# 3
{
  "formula": "BaOsO6",
  "functional": "PBE",
  "state": "optimized geometry",
  "lattice": [[-0.674, -1.553, 4.659], [4.012, -2.741, -0.982], [3.382, 3.051, 2.167]],
  "species": ["Ba", "Os", "O", "O", "O", "O", "O", "O"],
  "fractional_positions": [[0.500, 0.500, 0.500], [0.000, 0.000, 0.000], [0.085, 0.735, 0.258], [0.735, 0.085, 0.258], [0.265, 0.915, 0.742], [0.915, 0.265, 0.742], [0.262, 0.262, 0.090], [0.738, 0.738, 0.910]],
  "rho_g_cm3": 5.821,
  "dft_energy_ev_per_cell": -51.22
}

***

# 4
{
  "formula": "VCr4Ir5",
  "functional": "PBE",
  "state": "optimized geometry",
  "lattice": [[2.684, 0.000, 0.000], [0.000, 2.684, 0.000], [0.000, 0.000, 18.527]],
  "species": ["V", "Cr", "Cr", "Cr", "Cr", "Ir", "Ir", "Ir", "Ir", "Ir"],
  "fractional_positions": [[0.000, 0.000, 0.000], [0.000, 0.000, 0.201], [0.000, 0.000, 0.401], [0.000, 0.000, 0.599], [0.000, 0.000, 0.799], [0.500, 0.500, 0.105], [0.500, 0.500, 0.302], [0.500, 0.500, 0.500], [0.500, 0.500, 0.698], [0.500, 0.500, 0.895]],
  "rho_g_cm3": 15.182,
  "dft_energy_ev_per_cell": -94.35,
  "formation_enthalpy_0k_mev_per_atom": -244
}

***

# 5
{
  "formula": "SrLaNO",
  "functional": "PBE",
  "state": "optimized geometry",
  "lattice": [[-2.710, -0.181, 2.564], [0.867, -0.439, 3.606], [-0.376, 5.831, 2.735]],
  "species": ["Sr", "La", "N", "O"],
  "fractional_positions": [[0.497, 0.497, 0.508], [0.994, 0.994, 0.018], [0.260, 0.260, 0.219], [0.749, 0.749, 0.754]],
  "rho_g_cm3": 5.799,
  "dft_energy_ev_per_cell": -27.92
}

***

# 6
{
  "formula": "YTm2Lu",
  "functional": "PBE",
  "state": "optimized geometry",
  "lattice": [[-0.214, 1.353, -3.227], [-2.068, -1.505, -2.398], [-9.449, 6.556, 1.471]],
  "species": ["Y", "Lu", "Tm", "Tm"],
  "fractional_positions": [[0.500, 0.500, 0.500], [0.000, 0.000, 0.000], [0.749, 0.749, 0.754], [0.251, 0.251, 0.246]],
  "rho_g_cm3": 8.223,
  "de_polymorph_ev_per_atom": 0.002,
  "dft_energy_ev_per_cell": -19.79,
  "formation_enthalpy_0k_mev_per_atom": 34
}

***

# 7
{
  "formula": "MgMo2Se",
  "functional": "PBE",
  "state": "optimized geometry",
  "lattice": [[3.296, 0.000, 0.000], [0.000, 3.468, 0.026], [0.000, 1.630, 6.200]],
  "species": ["Mg", "Mo", "Mo", "Se"],
  "fractional_positions": [[0.500, 0.697, 0.733], [0.000, 0.064, 0.010], [0.500, 0.455, 0.206], [0.000, 0.284, 0.551]],
  "rho_g_cm3": 6.930,
  "de_polymorph_ev_per_atom": 0.000,
  "dft_energy_ev_per_cell": -26.63
}

***

# 8
{
  "formula": "Pm2SiGe5",
  "functional": "PBE",
  "state": "optimized geometry",
  "lattice": [[-3.402, 3.485, -3.578], [2.536, -2.524, -4.870], [-2.885, -3.752, 4.191]],
  "species": ["Pm", "Pm", "Si", "Ge", "Ge", "Ge", "Ge", "Ge"],
  "fractional_positions": [[0.246, 0.746, 0.493], [0.746, 0.246, 0.493], [0.157, 0.157, 0.314], [0.744, 0.234, 0.978], [0.234, 0.234, 0.978], [0.744, 0.744, 0.978], [0.234, 0.744, 0.978], [0.671, 0.671, 0.343]],
  "rho_g_cm3": 6.649,
  "dft_energy_ev_per_cell": -41.21
}

***

# 9
{
  "formula": "Th3Zn4Cd4",
  "functional": "PBE",
  "state": "optimized geometry",
  "lattice": [[-3.313, -1.079, 1.275], [1.457, -4.481, -0.009], [3.828, -1.292, 14.256]],
  "species": ["Th", "Th", "Th", "Zn", "Zn", "Zn", "Zn", "Cd", "Cd", "Cd", "Cd"],
  "fractional_positions": [[0.142, 0.643, 0.715], [0.858, 0.357, 0.285], [0.000, 0.000, 0.000], [0.546, 0.545, 0.910], [0.454, 0.455, 0.090], [0.314, 0.814, 0.372], [0.686, 0.186, 0.628], [0.593, 0.093, 0.814], [0.258, 0.258, 0.484], [0.742, 0.742, 0.516], [0.407, 0.907, 0.186]],
  "rho_g_cm3": 9.216,
  "de_polymorph_ev_per_atom": 0.007,
  "dft_energy_ev_per_cell": -32.89,
  "formation_enthalpy_0k_mev_per_atom": -170
}

***

# 10
{
  "formula": "SnRh2Br2",
  "functional": "PBE",
  "state": "optimized geometry",
  "lattice": [[4.403, 0.000, 0.000], [0.000, 4.403, 0.000], [2.202, 2.202, 5.535]],
  "species": ["Rh", "Rh", "Sn", "Br", "Br"],
  "fractional_positions": [[0.386, 0.386, 0.228], [0.614, 0.614, 0.772], [0.000, 0.000, 0.000], [0.750, 0.250, 0.500], [0.250, 0.750, 0.500]],
  "rho_g_cm3": 7.494,
  "de_polymorph_ev_per_atom": 0.461,
  "dft_energy_ev_per_cell": -19.67
}

***

# 11
{
  "formula": "La6Tc2PdBr3",
  "functional": "PBE",
  "state": "optimized geometry",
  "lattice": [[-0.762, -0.806, 4.066], [-1.862, -8.887, -2.110], [10.061, 1.604, 0.019]],
  "species": ["La", "La", "La", "La", "La", "La", "Tc", "Tc", "Pd", "Br", "Br", "Br"],
  "fractional_positions": [[0.339, 0.880, 0.677], [0.677, 0.550, 0.354], [0.661, 0.120, 0.323], [0.020, 0.238, 0.040], [0.980, 0.762, 0.960], [0.323, 0.450, 0.646], [0.847, 0.680, 0.693], [0.153, 0.320, 0.307], [0.500, 0.000, 0.000], [0.500, 0.500, 0.000], [0.831, 0.170, 0.663], [0.169, 0.830, 0.337]],
  "rho_g_cm3": 6.240,
  "dft_energy_ev_per_cell": -70.27
}

***

# 12
{
  "formula": "AcPmSiAg",
  "functional": "PBE",
  "state": "optimized geometry",
  "lattice": [[5.360, 0.000, 0.000], [2.680, 4.642, 0.000], [2.680, 1.547, 4.377]],
  "species": ["Ac", "Si", "Ag", "Pm"],
  "fractional_positions": [[0.500, 0.500, 0.500], [0.750, 0.750, 0.750], [0.250, 0.250, 0.250], [0.000, 0.000, 0.000]],
  "rho_g_cm3": 7.746,
  "dft_energy_ev_per_cell": -18.52
}